DFT (SCAN) results for a PBEsol-optimized structure of Sr3Li.

Structure (extended XYZ):
```
8
Lattice="6.5016 0.0000 0.0000 0.0000 7.8995 0.0000 0.0000 0.0000 7.0699" Properties=species:S:1:pos:R:3 pbc="T T T"
Sr 1.6254 0.0102 1.1072
Sr 1.6254 3.9395 1.1072
Sr 1.6254 5.9246 4.5224
Sr 4.8762 1.9749 2.5476
Sr 4.8762 3.9600 5.9627
Sr 4.8762 7.8893 5.9627
Li 1.6254 1.9749 4.7763
Li 4.8762 5.9246 2.2936
```

Summary:
total magnetic moment: 0.6 μB per cell
E above lowest polymorph: 55 meV/atom
volume: 182 Å³/f.u.

***

DFT (SCAN) results for a PBEsol-optimized structure of Ir2Rh.

Structure (extended XYZ):
```
12
Lattice="5.3882 0.0000 0.0000 0.0000 3.8132 0.0000 0.0000 0.0000 8.0827" Properties=species:S:1:pos:R:3 pbc="T T T"
Ir 0.6746 0.9533 0.6727
Ir 0.6763 0.9533 6.0767
Ir 2.0178 2.8599 2.0354
Ir 2.0195 2.8599 4.7141
Ir 3.3688 0.9533 3.3686
Ir 3.3704 0.9533 6.0473
Ir 4.7119 2.8599 2.0060
Ir 4.7136 2.8599 7.4099
Rh 0.6723 0.9533 3.3543
Rh 2.0218 2.8599 7.3956
Rh 3.3664 0.9533 0.6870
Rh 4.7160 2.8599 4.7284
```

Summary:
total magnetic moment: 0.0 μB per cell
E above lowest polymorph: 7 meV/atom
volume: 42 Å³/f.u.

***

DFT (SCAN) results for a PBEsol-optimized structure of InCuRh.

Structure (extended XYZ):
```
3
Lattice="4.2322 0.0000 0.0000 -2.1161 3.6652 0.0000 0.0000 0.0000 2.9037" Properties=species:S:1:pos:R:3 pbc="T T T"
In 0.0000 0.0000 0.0000
Cu 2.1161 1.2217 0.7084
Rh 0.0000 2.4435 1.6689
```

Summary:
total magnetic moment: 0.0 μB per cell
E above lowest polymorph: 37 meV/atom
volume: 45 Å³/f.u.

***

DFT (SCAN) results for a PBEsol-optimized structure of HoCuSn.

Structure (extended XYZ):
```
6
Lattice="4.4604 0.0000 0.0000 -2.2302 3.8628 0.0000 0.0000 0.0000 7.1136" Properties=species:S:1:pos:R:3 pbc="T T T"
Ho 0.0000 0.0000 0.0000
Ho 0.0000 0.0000 3.5568
Cu 0.0000 2.5752 1.2548
Cu 2.2302 1.2876 4.8116
Sn 0.0000 2.5752 5.4723
Sn 2.2302 1.2876 1.9155
```

Summary:
total magnetic moment: 0.0 μB per cell
volume: 61 Å³/f.u.

***

DFT (SCAN) results for a PBEsol-optimized structure of FeMoRh2.

Structure (extended XYZ):
```
4
Lattice="2.6855 0.0000 0.0000 0.0000 3.7164 0.0000 0.0000 0.0000 5.3455" Properties=species:S:1:pos:R:3 pbc="T T T"
Fe 0.0000 0.0000 0.0000
Mo 0.0000 0.0000 2.6727
Rh 1.3427 1.8582 1.2974
Rh 1.3427 1.8582 4.0480
```

Summary:
total magnetic moment: 2.8 μB per cell
E above lowest polymorph: 12 meV/atom
volume: 53 Å³/f.u.

***

DFT (SCAN) results for a PBEsol-optimized structure of YAl2Sb.

Structure (extended XYZ):
```
4
Lattice="0.0000 3.5602 3.5602 3.5602 0.0000 3.5602 3.5602 3.5602 0.0000" Properties=species:S:1:pos:R:3 pbc="T T T"
Y 0.0000 0.0000 0.0000
Al 1.7801 1.7801 1.7801
Al 3.5602 3.5602 3.5602
Sb 5.3403 5.3403 5.3403
```

Summary:
total magnetic moment: 0.0 μB per cell
volume: 90 Å³/f.u.
formation energy (no corrections): -0.40 eV per formula unit

***

DFT (SCAN) results for a PBEsol-optimized structure of CdIn2Te4.

Structure (extended XYZ):
```
7
Lattice="-3.1111 3.1111 6.1992 3.1111 -3.1111 6.1992 3.1111 3.1111 -6.1992" Properties=species:S:1:pos:R:3 pbc="T T T"
Cd 0.0000 0.0000 0.0000
In 0.0000 0.0000 6.1992
In 0.0000 3.1111 3.0996
Te 1.7319 -1.3619 4.4689
Te 1.7492 1.3792 1.7303
Te 1.3792 4.4730 -1.7303
Te 1.3619 1.7319 7.9295
```

Summary:
total magnetic moment: 0.0 μB per cell
volume: 240 Å³/f.u.
formation energy (no corrections): -2.87 eV per formula unit

***

DFT (SCAN) results for a PBEsol-optimized structure of KAlSb3.

Structure (extended XYZ):
```
5
Lattice="5.6638 0.0000 0.0000 0.0000 5.6638 0.0000 0.0000 0.0000 5.6638" Properties=species:S:1:pos:R:3 pbc="T T T"
K 0.0000 0.0000 0.0000
Al 2.8319 2.8319 2.8319
Sb 0.0000 0.0000 2.8319
Sb 0.0000 2.8319 0.0000
Sb 2.8319 0.0000 0.0000
```

Summary:
total magnetic moment: 0.0 μB per cell
volume: 182 Å³/f.u.
formation energy (no corrections): 7.24 eV per formula unit

***

| no. | electronic total energy (eV for the cell shown) | density (g/cm3) |
| --- | --- | --- |
| 1 | -137.76 | 2.5 |
| 2 | -704.20 | 19.5 |
| 3 | -82.63 | 10.4 |
| 4 | -204.49 | 9.4 |
| 5 | -121.32 | 11.1 |
| 6 | -81.01 | 4.9 |
| 7 | -249.06 | 5.9 |
| 8 | -120.62 | 3.9 |